No. 1
## TlTcOs2 (PBE)

Data for TlTcOs2 after structural relaxation.

It has space group Pmm2 (No. 25), with a = 2.811 Å, b = 3.776 Å, c = 6.305 Å, α = 90.00°, β = 90.00° and γ = 90.00°. The distinct sites, in fractional coordinates, are Tl at (0.000, 0.000, 0.000), Tc at (0.500, 0.500, 0.710), Os at (0.000, 0.000, 0.496) and Os at (0.500, 0.500, 0.295).

The calculation puts the total moment at 0.000 Bohr magnetons per cell. Its total energy is -8.121 eV/atom. As for the formation energy: 677.4 meV per atom.



No. 2
## TlTcOs (PBE)

Data for TlTcOs after structural relaxation.

It has space group P3m1 (No. 156), with a = 2.9052 Å, b = 2.9052 Å, c = 7.1132 Å, α = 90.00°, β = 90.00° and γ = 120.00°. The distinct sites, in fractional coordinates, are Tl at (0.0000, 0.0000, 0.0000), Tc at (0.3333, 0.6667, 0.6414) and Os at (0.6667, 0.3333, 0.3640).

The calculation puts the total moment at 0.000 Bohr magnetons per cell. Its total energy is -7.373 eV/atom. As for the formation energy: 614.2 meV per atom.



No. 3
## TmTcOs (PBE)

Data for TmTcOs after structural relaxation.

It has space group C2/m (No. 12), with a = 10.075 Å, b = 4.364 Å, c = 7.008 Å, α = 90.00°, β = 132.29° and γ = 90.00°. The distinct sites, in fractional coordinates, are Tm at (0.064, 0.000, 0.315), Tc at (0.160, 0.500, 0.074) and Os at (0.165, 0.500, 0.728).

The calculation puts the total moment at 0.000 Bohr magnetons per cell. Its total energy is -8.904 eV/atom. As for the formation energy: -215.2 meV per atom.



| no. | excess energy over the best structure of this formula in the dataset (meV per atom) |
| --- | --- |
| 1 | 97 |
| 2 | 148 |
| 3 | 105 |